Computed, not measured: a relaxed structure of TiGa2F at the PBE-GGA level of DFT.

```
TiGa2F
1.0
2.945 0.789 3.327
-0.937 -1.336 4.207
2.291 -3.423 1.844
F Ga Ti
1 2 1
Direct
0.000 0.000 0.000
0.250 0.250 0.250
0.750 0.750 0.750
0.500 0.500 0.500
```

Total magnetic moment ... 0.00 μB/f.u.
ΔE_f (raw) ... -0.305 eV/atom
SG ... Fm-3m, No. 225


Computed, not measured: a relaxed structure of Ca2SbAs2 at the PBE-GGA level of DFT.

```
Ca2SbAs2
1.0
-0.095 2.893 7.332
-6.922 -3.537 1.306
1.946 -3.316 1.334
Sb As Ca
2 4 4
Direct
0.000 0.000 0.000
0.500 0.500 0.000
0.343 0.843 0.000
0.843 0.657 0.000
0.657 0.157 0.000
0.157 0.343 0.000
0.151 0.651 0.500
0.651 0.849 0.500
0.849 0.349 0.500
0.349 0.151 0.500
```

Total magnetic moment ... 0.00 μB/f.u.
ΔE_f (raw) ... -0.793 eV/atom
SG ... P4/mbm, No. 127


Computed, not measured: a relaxed structure of BaBe2Cd at the PBE-GGA level of DFT.

```
BaBe2Cd
1.0
-2.593 2.010 -1.018
-1.819 -3.804 -2.875
-2.809 -1.631 3.936
Be Ba Cd
2 1 1
Direct
0.000 0.000 0.000
0.000 0.500 0.500
0.500 0.000 0.500
0.500 0.500 0.000
```

Total magnetic moment ... 0.00 μB/f.u.
SG ... P4/mmm, No. 123


Computed, not measured: a relaxed structure of NaYBr2F at the PBE-GGA level of DFT.

```
NaYBr2F
1.0
5.749 0.000 0.000
0.000 5.749 0.000
0.000 0.000 4.372
Y Na Br F
1 1 2 1
Direct
0.000 0.000 0.000
0.500 0.500 0.500
0.000 0.500 0.000
0.500 0.000 0.000
0.000 0.000 0.500
```

Total magnetic moment ... 0.00 μB/f.u.
ΔE_f (raw) ... -1.962 eV/atom
SG ... P4/mmm, No. 123


| no. | uncorrected energy (eV for the cell shown) | V (Å³/atom) |
| --- | --- | --- |
| 1 | -17.04 | 16.25 |
| 2 | -42.77 | 25.29 |
| 3 | -7.01 | 22.36 |
| 4 | -22.81 | 28.91 |